Arrangement a

# TlGaAs2Se

TlGaAs2Se after structural relaxation (PBE, the Alexandria database).

Lattice parameters (Å, degrees): 5.3620 5.3620 5.5407 90.00 90.00 90.00
Site moments in Bohr magnetons follow the coordinates.
Element x y z (fractional)
Tl 0.0000 0.0000 0.0000  0.00
Ga 0.5000 0.5000 0.5000  0.00
As 0.0000 0.5000 0.0000  0.26
As 0.5000 0.0000 0.0000  0.26
Se 0.0000 0.0000 0.5000  0.11

=====

Arrangement b

# TlGaAs2Se

TlGaAs2Se after structural relaxation (PBE, the Alexandria database).

Lattice parameters (Å, degrees): 4.9948 4.9948 5.2397 90.00 90.00 90.00
Element x y z (fractional)
Tl 0.5000 0.5000 0.5000
Ga 0.0000 0.0000 0.0000
As 0.0000 0.5000 0.0000
As 0.5000 0.0000 0.0000
Se 0.0000 0.0000 0.5000

=====

Computed stability ranking, most favorable first: arrangement b, arrangement a

=====

Arrangement a

# VGaAs2Se

VGaAs2Se after structural relaxation (PBE, the Alexandria database).

Lattice parameters (Å, degrees): 4.7736 4.7736 4.9878 90.00 90.00 90.00
Site moments in Bohr magnetons follow the coordinates.
Element x y z (fractional)
As 0.0000 0.5000 0.0000  0.01
As 0.5000 0.0000 0.0000  0.01
Ga 0.0000 0.0000 0.0000  -0.01
Se 0.0000 0.0000 0.5000  0.03
V 0.5000 0.5000 0.5000  0.07

=====

Arrangement b

# VGaAs2Se

VGaAs2Se after structural relaxation (PBE, the Alexandria database).

Lattice parameters (Å, degrees): 4.8173 4.8173 4.8034 90.00 90.00 90.00
Element x y z (fractional)
As 0.0000 0.5000 0.0000
As 0.5000 0.0000 0.0000
Ga 0.5000 0.5000 0.5000
Se 0.0000 0.0000 0.5000
V 0.0000 0.0000 0.0000

=====

Computed stability ranking, most favorable first: arrangement b, arrangement a

=====

Arrangement a

# YGaAs2Se

YGaAs2Se after structural relaxation (PBE, the Alexandria database).

Lattice parameters (Å, degrees): 5.4683 5.4683 5.4724 90.00 90.00 90.00
Element x y z (fractional)
Y 0.0000 0.0000 0.0000
As 0.0000 0.5000 0.0000
As 0.5000 0.0000 0.0000
Ga 0.5000 0.5000 0.5000
Se 0.0000 0.0000 0.5000

=====

Arrangement b

# YGaAs2Se

YGaAs2Se after structural relaxation (PBE, the Alexandria database).

Lattice parameters (Å, degrees): 4.8545 4.8545 5.0954 90.00 90.00 90.00
Element x y z (fractional)
Y 0.5000 0.5000 0.5000
As 0.0000 0.5000 0.0000
As 0.5000 0.0000 0.0000
Ga 0.0000 0.0000 0.0000
Se 0.0000 0.0000 0.5000

=====

Computed stability ranking, most favorable first: arrangement b, arrangement a